This record from Alexandria via LeMat-Bulk describes a relaxed NaTa4 crystal. The functional is PBE-GGA.

Cell: 4.636 4.636 4.636 Å, 90.00 90.00 90.00°
Fractional positions:
Na 0.000 0.000 0.000
Ta 0.000 0.000 0.500
Ta 0.000 0.500 0.000
Ta 0.500 0.000 0.000
Ta 0.500 0.500 0.500

Values from the calculation:
Energy of formation from the pure elements   2.290 eV per atom
Space group   Pm-3m, No. 221
Size of the total moment   0.0000 μB per atom
Fermi-level density of states   6.2 states/eV per cell